A geometry-optimized Tl3In structure. Source: Alexandria via LeMat-Bulk, functional GGA-PBE.

a = 5.579 Å, b = 7.312 Å, c = 5.896 Å
α = 90.00°, β = 90.00°, γ = 90.00°
Fractional positions:
Tl 0.250 0.000 0.188
Tl 0.250 0.250 0.682
Tl 0.250 0.500 0.188
Tl 0.750 0.000 0.812
Tl 0.750 0.500 0.812
Tl 0.750 0.750 0.318
In 0.250 0.750 0.690
In 0.750 0.250 0.310

Output
DFT formation energy = 0.04 eV/f.u.
Volume = 240.5 Å³ per cell

A geometry-optimized TaIO structure. Source: Alexandria via LeMat-Bulk, functional GGA-PBE.

a = 3.868 Å, b = 3.868 Å, c = 10.024 Å
α = 93.31°, β = 94.04°, γ = 101.72°
Fractional positions:
Ta 0.000 0.000 0.000
Ta 0.340 0.344 0.830
I 0.247 0.544 0.210
I 0.790 0.104 0.619
O 0.466 0.876 0.915
O 0.880 0.462 0.915

Output
Formation energy (no corrections) = -3.65 eV/f.u.
Volume = 146.1 Å³ per cell